First-principles (PBE) data for a relaxed Tm3P2C crystal, as listed in Alexandria.

crystal system: monoclinic
SG: C2/c, No. 15

Cell and atoms, written as POSCAR:
```
Tm3P2C
1.0
5.4428 0.0000 0.0000
0.0000 7.4400 0.0043
-2.7214 -1.8593 5.7913
C Tm P
2 6 4
Direct
0.0007 0.2500 0.0000 C
0.9993 0.7500 0.0000 C
0.1470 0.5736 0.2940 Tm
0.5004 0.7500 0.0000 Tm
0.1470 0.0736 0.2940 Tm
0.4996 0.2500 0.0000 Tm
0.8530 0.9264 0.7060 Tm
0.8530 0.4264 0.7060 Tm
0.6725 0.0861 0.3449 P
0.6724 0.5861 0.3449 P
0.3275 0.9139 0.6551 P
0.3276 0.4139 0.6551 P
```

First-principles (PBE) data for a relaxed Tm6PC3 crystal, as listed in Alexandria.

crystal system: monoclinic
SG: P2_1/m, No. 11

Cell and atoms, written as POSCAR:
```
Tm6PC3
1.0
3.6082 0.0000 0.0000
0.0000 11.6058 -3.5906
0.0000 -1.3449 10.0717
C Tm P
6 12 2
Direct
0.7500 0.7425 0.4930 C
0.2500 0.8688 0.8834 C
0.7500 0.4281 0.8373 C
0.2500 0.5719 0.1627 C
0.2500 0.2575 0.5070 C
0.7500 0.1312 0.1166 C
0.2500 0.2714 0.7521 Tm
0.2500 0.0743 0.9281 Tm
0.7500 0.7286 0.2479 Tm
0.7500 0.7547 0.7366 Tm
0.2500 0.5739 0.9209 Tm
0.7500 0.1040 0.4392 Tm
0.2500 0.8960 0.5608 Tm
0.7500 0.4061 0.5886 Tm
0.7500 0.4261 0.0791 Tm
0.7500 0.9257 0.0719 Tm
0.2500 0.2453 0.2634 Tm
0.2500 0.5939 0.4114 Tm
0.2500 0.9172 0.2908 P
0.7500 0.0828 0.7092 P
```

First-principles (PBE) data for a relaxed Tm12P3C5 crystal, as listed in Alexandria.

crystal system: cubic
SG: Ia-3d, No. 230

Cell and atoms, written as POSCAR:
```
Tm12P3C5
1.0
12.9849 0.0000 0.0000
-4.3283 12.2423 0.0000
-4.3283 -6.1211 10.6021
C Tm P
20 48 12
Direct
0.2500 0.8750 0.1250 C
0.3750 0.2500 0.1250 C
0.6250 0.8750 0.2500 C
0.5000 0.5000 0.0000 C
0.0000 0.0000 0.0000 C
0.1250 0.7500 0.3750 C
0.1250 0.3750 0.2500 C
0.5000 0.0000 0.0000 C
0.0000 0.5000 0.0000 C
0.3750 0.1250 0.7500 C
0.5000 0.5000 0.5000 C
0.0000 0.0000 0.5000 C
0.0000 0.5000 0.5000 C
0.6250 0.7500 0.8750 C
0.7500 0.1250 0.8750 C
0.7500 0.6250 0.3750 C
0.8750 0.2500 0.6250 C
0.5000 0.0000 0.5000 C
0.2500 0.3750 0.6250 C
0.8750 0.6250 0.7500 C
0.8199 0.9064 0.0274 Tm
0.6210 0.0274 0.2075 Tm
0.5936 0.6210 0.4135 Tm
0.7925 0.4726 0.3790 Tm
0.2075 0.6801 0.0865 Tm
0.0274 0.6210 0.7075 Tm
0.9726 0.3790 0.2925 Tm
0.4726 0.6801 0.0936 Tm
0.4135 0.1210 0.5936 Tm
0.7075 0.5865 0.1801 Tm
0.4064 0.0274 0.3199 Tm
0.3199 0.7925 0.4135 Tm
0.6801 0.4726 0.5936 Tm
0.5865 0.7075 0.6801 Tm
0.0936 0.9135 0.1210 Tm
0.1210 0.7075 0.5274 Tm
0.1210 0.4135 0.0936 Tm
0.8199 0.9135 0.2925 Tm
0.8790 0.2925 0.4726 Tm
0.5274 0.3199 0.9064 Tm
0.4726 0.7925 0.8790 Tm
0.0274 0.4064 0.8199 Tm
0.5936 0.9726 0.6801 Tm
0.9726 0.5936 0.1801 Tm
0.1801 0.0936 0.9726 Tm
0.5274 0.2075 0.1210 Tm
0.5865 0.8790 0.4064 Tm
0.6801 0.2075 0.5865 Tm
0.6210 0.5936 0.9135 Tm
0.2075 0.5274 0.6210 Tm
0.3199 0.5274 0.4064 Tm
0.0865 0.1801 0.2075 Tm
0.4064 0.3790 0.5865 Tm
0.2925 0.4135 0.8199 Tm
0.2925 0.8790 0.9726 Tm
0.7075 0.1210 0.0274 Tm
0.9064 0.0865 0.8790 Tm
0.0936 0.1801 0.4726 Tm
0.4135 0.2925 0.3199 Tm
0.0865 0.9064 0.3790 Tm
0.9064 0.8199 0.5274 Tm
0.9135 0.0936 0.6210 Tm
0.7925 0.3199 0.9135 Tm
0.3790 0.4064 0.0865 Tm
0.8790 0.5865 0.9064 Tm
0.3790 0.9726 0.7925 Tm
0.9135 0.8199 0.7925 Tm
0.1801 0.0865 0.7075 Tm
0.2500 0.6250 0.8750 P
0.7500 0.3750 0.1250 P
0.8750 0.7500 0.1250 P
0.1250 0.2500 0.8750 P
0.1250 0.8750 0.7500 P
0.2500 0.1250 0.3750 P
0.3750 0.6250 0.2500 P
0.8750 0.1250 0.2500 P
0.7500 0.8750 0.6250 P
0.6250 0.3750 0.7500 P
0.6250 0.2500 0.3750 P
0.3750 0.7500 0.6250 P
```

First-principles (PBE) data for a relaxed UPC crystal, as listed in Alexandria.

crystal system: hexagonal
polymorph energy (0 for the lowest one): 0 meV per atom
SG: P-6m2, No. 187

Cell and atoms, written as POSCAR:
```
UPC
1.0
3.8207 0.0000 0.0000
0.0000 3.8181 0.0000
0.0000 -1.9091 3.3066
U C P
1 1 1
Direct
0.1666 0.0000 0.0000 U
0.1667 0.3333 0.6667 C
0.6666 0.6667 0.3333 P
```

First-principles (PBE) data for a relaxed U3PC crystal, as listed in Alexandria.

crystal system: monoclinic
SG: C2/c, No. 15

Cell and atoms, written as POSCAR:
```
U3PC
1.0
5.5370 0.0000 -0.9743
2.7685 5.5067 -0.4872
0.6569 0.0000 5.7153
U P C
6 2 2
Direct
0.7642 0.4716 0.2500 U
0.8415 0.9005 0.9657 U
0.1585 0.0995 0.0343 U
0.2580 0.9005 0.5343 U
0.2358 0.5284 0.7500 U
0.7420 0.0995 0.4657 U
0.7480 0.5041 0.7500 P
0.2520 0.4959 0.2500 P
0.4431 0.1139 0.7500 C
0.5569 0.8861 0.2500 C
```

First-principles (PBE) data for a relaxed U2P2C crystal, as listed in Alexandria.

crystal system: orthorhombic
SG: Ibam, No. 72

Cell and atoms, written as POSCAR:
```
U2P2C
1.0
5.4782 0.0000 0.0000
0.0000 5.7094 0.0000
-2.7391 -2.8547 5.6800
P U C
4 4 2
Direct
0.3524 0.0477 0.7048 P
0.1476 0.3429 0.2952 P
0.8524 0.6571 0.7048 P
0.6476 0.9523 0.2952 P
0.6133 0.3904 0.2266 U
0.1133 0.8362 0.2266 U
0.3867 0.6096 0.7734 U
0.8867 0.1638 0.7734 U
0.2500 0.5000 0.0000 C
0.7500 0.5000 0.0000 C
```

First-principles (PBE) data for a relaxed U3P3C crystal, as listed in Alexandria.

crystal system: monoclinic
SG: C2/m, No. 12

Cell and atoms, written as POSCAR:
```
U3P3C
1.0
-2.6334 -1.2421 -5.9979
4.8137 -4.3377 1.5701
-4.8951 -3.3694 3.4387
C U P
2 6 6
Direct
0.8335 0.8335 0.8581 C
0.1665 0.1665 0.1419 C
0.8715 0.5377 0.7217 U
0.1285 0.4623 0.2783 U
0.5377 0.8715 0.7217 U
0.1283 0.1283 0.8039 U
0.8717 0.8717 0.1961 U
0.4623 0.1285 0.2783 U
0.4156 0.4156 0.6131 P
0.5844 0.5844 0.3869 P
0.7546 0.2454 0.0000 P
0.1600 0.8400 0.5000 P
0.8400 0.1600 0.5000 P
0.2454 0.7546 0.0000 P
```

First-principles (PBE) data for a relaxed U5P4C crystal, as listed in Alexandria.

crystal system: tetragonal
SG: I4/m, No. 87

Cell and atoms, written as POSCAR:
```
U5P4C
1.0
5.4805 0.0000 0.0000
2.7402 6.0647 0.0000
2.7402 0.0000 6.0647
U P C
5 4 1
Direct
0.7242 0.1819 0.3717 U
0.5010 0.0000 0.0000 U
0.2778 0.8181 0.6283 U
0.0959 0.6283 0.1819 U
0.9062 0.3717 0.8181 U
0.5909 0.6053 0.2149 P
0.4111 0.3947 0.7851 P
0.8058 0.7851 0.6053 P
0.1962 0.2149 0.3947 P
0.0011 0.0000 0.0000 C
```

First-principles (PBE) data for a relaxed UPC crystal, as listed in Alexandria.

crystal system: tetragonal
polymorph energy (0 for the lowest one): 398 meV per atom
SG: I4mm, No. 107

Cell and atoms, written as POSCAR:
```
UPC
1.0
-0.9038 -1.8202 2.2369
1.7463 -2.2110 -1.0935
3.4990 3.6647 2.3543
C P U
1 1 1
Direct
0.9089 0.9089 0.8178 C
0.6123 0.6123 0.2245 P
0.3288 0.3288 0.6576 U
```

First-principles (PBE) data for a relaxed U5P2C2 crystal, as listed in Alexandria.

crystal system: orthorhombic
SG: Cmce, No. 64

Cell and atoms, written as POSCAR:
```
U5P2C2
1.0
6.6951 0.0000 0.0000
0.0000 6.6738 0.0000
0.0000 -3.3369 6.8960
U C P
10 4 4
Direct
0.8633 0.7552 0.2412 U
0.6367 0.0141 0.7588 U
0.1367 0.4859 0.2412 U
0.8633 0.5141 0.7588 U
0.3633 0.7448 0.7588 U
0.3633 0.9859 0.2412 U
0.0000 0.0000 0.0000 U
0.6367 0.2552 0.2412 U
0.1367 0.2448 0.7588 U
0.5000 0.5000 0.0000 U
0.1616 0.6620 0.0000 C
0.8384 0.3380 0.0000 C
0.6616 0.8380 0.0000 C
0.3384 0.1620 0.0000 C
0.5000 0.7004 0.4007 P
0.0000 0.2004 0.4007 P
0.0000 0.7996 0.5993 P
0.5000 0.2996 0.5993 P
```

First-principles (PBE) data for a relaxed V4P2C crystal, as listed in Alexandria.

crystal system: hexagonal
polymorph energy (0 for the lowest one): 0 meV per atom
SG: P-62m, No. 189

Cell and atoms, written as POSCAR:
```
V4P2C
1.0
9.5498 0.0000 0.0000
-4.7749 8.2704 0.0000
0.0000 0.0000 3.1577
P C V
6 3 12
Direct
0.6667 0.3333 0.0000 P
0.3333 0.6667 0.0000 P
0.0000 0.2821 0.0000 P
0.0000 0.0000 0.5000 P
0.2821 0.0000 0.0000 P
0.7179 0.7179 0.0000 P
0.0000 0.6695 0.5000 C
0.6695 0.0000 0.5000 C
0.3305 0.3305 0.5000 C
0.5339 0.0000 0.0000 V
0.7924 0.2442 0.5000 V
0.1863 0.1863 0.0000 V
0.2076 0.4519 0.5000 V
0.8137 0.0000 0.0000 V
0.4661 0.4661 0.0000 V
0.0000 0.8137 0.0000 V
0.2442 0.7924 0.5000 V
0.5481 0.7558 0.5000 V
0.0000 0.5339 0.0000 V
0.7558 0.5481 0.5000 V
0.4519 0.2076 0.5000 V
```

First-principles (PBE) data for a relaxed V4P2C crystal, as listed in Alexandria.

crystal system: tetragonal
polymorph energy (0 for the lowest one): 379 meV per atom
SG: I4/mmm, No. 139

Cell and atoms, written as POSCAR:
```
V4P2C
1.0
-2.6189 -0.9102 2.6462
2.7811 -0.4453 2.5993
-0.4160 5.2532 4.1708
V C P
4 1 2
Direct
0.8312 0.8312 0.3376 V
0.5000 0.0000 0.0000 V
0.1688 0.1688 0.6624 V
0.0000 0.5000 0.0000 V
0.0000 0.0000 0.0000 C
0.3618 0.3618 0.2764 P
0.6382 0.6382 0.7236 P
```

no.,formation energy (eV/f.u.),spin magnetization (μB/cell)
1,-6.03,0.0
2,-5.61,2.7
3,-10.53,0.0
4,0.13,0.0
5,-1.29,0.0
6,-2.65,3.1
7,-3.92,11.6
8,-7.25,8.9
9,1.32,0.3
10,-3.35,0.0
11,-5.42,0.0
12,-2.77,2.2